DFT (PBE) results for a relaxed structure of HfTh2N.

Computed properties:
Uncorrected formation energy in meV per atom: -249
Calculated total energy in eV per formula unit: -34.11
DOS at the Fermi energy in states/eV/f.u.: 5.3

Cell: 3.4156 3.4156 28.0937 Å, 90.00 90.00 120.00°
Space group R-3m (No. 166, hexagonal axes)
Symmetry-distinct sites (fractional):
Hf 0.0000 0.0000 0.0000
Th 0.0000 0.0000 0.1117
N 0.0000 0.0000 0.5000